(1)
DFT (PBE) results for crystalline ZnAg2Ru at its relaxed geometry.

a = 4.8282 Å, b = 4.8282 Å, c = 5.1229 Å
α = 80.86°, β = 80.86°, γ = 32.84°
Sites, in units of the cell vectors:
1 Ag 0.7520 0.7520 0.7512
2 Ag 0.9954 0.9954 0.9942
3 Zn 0.2474 0.2474 0.2776
4 Ru 0.5053 0.5053 0.4770

Results
spin magnetization	0.000	μB per cell
E	-3.788	eV per atom
V	63.9	Å³/cell

***

(2)
DFT (PBE) results for crystalline CuHgW2C at its relaxed geometry.

a = 4.1024 Å, b = 4.5903 Å, c = 4.1024 Å
α = 90.00°, β = 90.00°, γ = 90.00°
Sites, in units of the cell vectors:
1 C 0.0000 0.0000 0.0000
2 W 0.5000 0.0000 0.0000
3 W 0.0000 0.0000 0.5000
4 Hg 0.0000 0.5000 0.0000
5 Cu 0.5000 0.5000 0.5000

Results
spin magnetization	0.000	μB per cell
E	-7.002	eV per atom
V	77.3	Å³/cell

***

(3)
DFT (PBE) results for crystalline Ba2Ce3S8 at its relaxed geometry.

a = 7.0730 Å, b = 8.4154 Å, c = 8.5152 Å
α = 119.61°, β = 107.46°, γ = 90.00°
Sites, in units of the cell vectors:
1 Ce 0.0000 0.7421 0.0000
2 Ce 0.5000 0.0000 0.0000
3 Ce 0.0000 0.2579 0.0000
4 S 0.9090 0.1006 0.2012
5 S 0.9652 0.6108 0.2216
6 S 0.0910 0.8994 0.7988
7 S 0.0348 0.3892 0.7784
8 S 0.6049 0.6725 0.7825
9 S 0.3951 0.3275 0.2175
10 S 0.3951 0.8900 0.2175
11 S 0.6049 0.1100 0.7825
12 Ba 0.6582 0.7235 0.4470
13 Ba 0.3418 0.2765 0.5530

Results
spin magnetization	0.000	μB per cell
E	-6.080	eV per atom
V	413.6	Å³/cell
raw formation energy	-1.875	eV per atom

***

(4)
DFT (PBE) results for crystalline Pa4Ga3Re at its relaxed geometry.

a = 3.4021 Å, b = 4.4334 Å, c = 11.4207 Å
α = 90.00°, β = 90.00°, γ = 90.00°
Sites, in units of the cell vectors:
1 Ga 0.5000 0.0000 0.9357
2 Ga 0.0000 0.0000 0.4347
3 Ga 0.0000 0.5000 0.5644
4 Pa 0.5000 0.5000 0.3247
5 Pa 0.5000 0.0000 0.6698
6 Pa 0.0000 0.5000 0.8437
7 Pa 0.0000 0.0000 0.1582
8 Re 0.5000 0.5000 0.0687

Results
spin magnetization	0.000	μB per cell
E	-7.591	eV per atom
V	172.3	Å³/cell